(1)
Compound: Bi2WICl
Source: the Alexandria database
Functional: PBE
Structure: optimized geometry

Calculated values
As for the formation energy from raw total energies: 1.64 eV per atom. The value obtained for the calculated volume is 37.446 Å³/atom. The density of states at the Fermi level is 0.821 states/eV/atom. As for the symmetry: P4/mmm.

Unit cell a=6.065 b=5.091 c=6.065 alpha=90.00 beta=90.00 gamma=90.00
Site moments in Bohr magnetons follow the coordinates.
Positions (direct):
Bi: 0.500 0.000 0.000  -0.33
Bi: 0.000 0.000 0.500  -0.23
W: 0.000 0.500 0.000  2.25
I: 0.000 0.000 0.000  -0.04
Cl: 0.500 0.500 0.500  -0.02



(2)
Compound: Sr3Ag3Pb2
Source: the Alexandria database
Functional: PBE
Structure: optimized geometry

Calculated values
For the formation energy from the elements, the calculation gives -0.326 eV/atom. The value obtained for the calculated volume is 30.762 Å³/atom. The density of states at the Fermi level is 0.444 states/eV/atom. As for the symmetry: Pnma.

Unit cell a=6.715 b=8.378 c=17.498 alpha=90.00 beta=90.00 gamma=90.00
Positions (direct):
Sr: 0.850 0.513 0.895
Sr: 0.150 0.487 0.395
Sr: 0.150 0.487 0.105
Sr: 0.650 0.013 0.895
Sr: 0.617 0.351 0.250
Sr: 0.350 0.987 0.105
Sr: 0.850 0.513 0.605
Sr: 0.383 0.649 0.750
Sr: 0.883 0.851 0.250
Sr: 0.350 0.987 0.395
Sr: 0.650 0.013 0.605
Sr: 0.117 0.149 0.750
Pb: 0.159 0.865 0.610
Pb: 0.659 0.635 0.390
Pb: 0.341 0.365 0.890
Pb: 0.841 0.135 0.390
Pb: 0.841 0.135 0.110
Pb: 0.159 0.865 0.890
Pb: 0.659 0.635 0.110
Pb: 0.341 0.365 0.610
Ag: 0.570 0.331 0.473
Ag: 0.430 0.669 0.527
Ag: 0.430 0.669 0.973
Ag: 0.138 0.213 0.250
Ag: 0.638 0.287 0.750
Ag: 0.070 0.169 0.973
Ag: 0.862 0.787 0.750
Ag: 0.930 0.831 0.027
Ag: 0.570 0.331 0.027
Ag: 0.362 0.713 0.250
Ag: 0.930 0.831 0.473
Ag: 0.070 0.169 0.527



(3)
Compound: HfTa2Ge2
Source: the Alexandria database
Functional: PBE
Structure: optimized geometry

Calculated values
Its energy above the lowest structure with this stoichiometry is 0.000 eV/atom. For the formation energy from the elements, the calculation gives -0.419 eV/atom. The value obtained for the calculated volume is 17.402 Å³/atom. The density of states at the Fermi level is 0.181 states/eV/atom. As for the symmetry: P4/mbm.

Unit cell a=6.995 b=6.995 c=3.557 alpha=90.00 beta=90.00 gamma=90.00
Positions (direct):
Ge: 0.632 0.132 0.000
Ge: 0.868 0.632 0.000
Ge: 0.132 0.368 0.000
Ge: 0.368 0.868 0.000
Ta: 0.167 0.667 0.500
Ta: 0.833 0.333 0.500
Ta: 0.333 0.167 0.500
Ta: 0.667 0.833 0.500
Hf: 0.000 0.000 0.000
Hf: 0.500 0.500 0.000